No. 1
MgGa3: relaxed, PBE.

Unit cell a=4.175 b=4.175 c=5.215 alpha=113.60 beta=113.60 gamma=90.00
Element x y z (fractional)
1 Mg 0.000 0.000 0.000
2 Ga 0.500 0.500 0.000
3 Ga 0.250 0.750 0.500
4 Ga 0.750 0.250 0.500

**D(E_F)**: 1.56 states/eV/f.u.
**Total DFT energy (no corrections)**: -2.753 eV per atom

***

No. 2
Mg8Ga3: relaxed, PBE.

Unit cell a=6.427 b=6.427 c=6.427 alpha=90.02 beta=90.02 gamma=90.02
Element x y z (fractional)
1 Mg 0.750 0.250 0.750
2 Mg 0.250 0.750 0.250
3 Mg 0.250 0.750 0.750
4 Ga 0.500 0.500 0.000
5 Mg 0.750 0.750 0.750
6 Mg 0.750 0.250 0.250
7 Mg 0.250 0.250 0.250
8 Mg 0.750 0.750 0.250
9 Mg 0.250 0.250 0.750
10 Ga 0.000 0.500 0.500
11 Ga 0.500 0.000 0.500

**D(E_F)**: 5.13 states/eV/f.u.
**Total DFT energy (no corrections)**: -1.971 eV per atom

***

No. 3
Mg4Ga: relaxed, PBE.

Unit cell a=6.812 b=6.812 c=6.812 alpha=105.49 beta=105.49 gamma=117.76
Element x y z (fractional)
1 Mg 0.161 0.976 0.816
2 Mg 0.095 0.411 0.684
3 Mg 0.589 0.274 0.684
4 Mg 0.024 0.839 0.184
5 Mg 0.161 0.345 0.184
6 Mg 0.655 0.839 0.816
7 Ga 0.500 0.500 0.000
8 Mg 0.589 0.905 0.316
9 Mg 0.726 0.411 0.316
10 Ga 0.250 0.750 0.500

**D(E_F)**: 2.65 states/eV/f.u.
**Energy relative to the lowest polymorph listed for this composition**: 31 meV per atom

***

No. 4
Mg3Ga8: relaxed, PBE.

Unit cell a=4.191 b=5.118 c=10.886 alpha=101.84 beta=90.00 gamma=114.17
Element x y z (fractional)
1 Ga 0.273 0.546 0.911
2 Ga 0.636 0.272 0.452
3 Ga 0.549 0.097 0.819
4 Mg 0.905 0.810 0.359
5 Ga 0.364 0.728 0.548
6 Mg 0.000 0.000 0.000
7 Ga 0.820 0.641 0.725
8 Ga 0.727 0.454 0.089
9 Ga 0.180 0.359 0.275
10 Ga 0.451 0.903 0.181
11 Mg 0.095 0.190 0.641

**D(E_F)**: 3.46 states/eV/f.u.
**Total DFT energy (no corrections)**: -2.726 eV per atom

***

No. 5
MgGa5: relaxed, PBE.

Unit cell a=8.450 b=8.450 c=4.558 alpha=90.00 beta=90.00 gamma=159.46
Element x y z (fractional)
1 Mg 0.777 0.223 0.500
2 Ga 0.336 0.664 0.000
3 Ga 0.441 0.559 0.500
4 Ga 0.112 0.888 0.500
5 Ga 0.667 0.333 0.000
6 Ga 0.000 0.000 0.000

**D(E_F)**: 2.25 states/eV/f.u.
**Total DFT energy (no corrections)**: -2.821 eV per atom

***

No. 6
Mg3Ga: relaxed, PBE.

Unit cell a=4.767 b=3.670 c=4.767 alpha=90.00 beta=90.00 gamma=90.00
Element x y z (fractional)
1 Mg 0.000 0.500 0.583
2 Mg 0.000 0.000 0.083
3 Mg 0.500 0.500 0.083
4 Ga 0.500 0.000 0.584

**D(E_F)**: 1.50 states/eV/f.u.
**Total DFT energy (no corrections)**: -2.008 eV per atom

***

No. 7
Mg7Ga4: relaxed, PBE.

Unit cell a=3.204 b=9.024 c=9.024 alpha=120.00 beta=90.00 gamma=90.00
Element x y z (fractional)
1 Ga 0.000 0.333 0.667
2 Mg 0.000 0.000 0.000
3 Mg 0.000 0.533 0.467
4 Ga 0.500 0.330 0.165
5 Ga 0.500 0.835 0.165
6 Mg 0.500 0.187 0.813
7 Mg 0.500 0.625 0.813
8 Mg 0.000 0.533 0.067
9 Mg 0.000 0.933 0.467
10 Ga 0.500 0.835 0.670
11 Mg 0.500 0.187 0.375

**D(E_F)**: 5.22 states/eV/f.u.
**Total DFT energy (no corrections)**: -2.239 eV per atom

***

No. 8
Mg2Ga7: relaxed, PBE.

Unit cell a=5.599 b=5.599 c=6.422 alpha=90.00 beta=90.00 gamma=120.00
Element x y z (fractional)
1 Ga 0.670 0.000 0.345
2 Ga 0.000 0.000 0.000
3 Mg 0.667 0.333 0.000
4 Mg 0.333 0.667 0.000
5 Ga 0.330 0.330 0.345
6 Ga 0.000 0.330 0.655
7 Ga 0.330 0.000 0.655
8 Ga 0.000 0.670 0.345
9 Ga 0.670 0.670 0.655

**D(E_F)**: 2.00 states/eV/f.u.
**Total DFT energy (no corrections)**: -2.751 eV per atom